Entry 1:
VASP calculation (PBE) on TaFeSnRh after structural relaxation.

Computed properties:
V: 253.6 Å³/cell
DOS at the Fermi energy: 1.9 states/eV/f.u.
Calculated formation energy: -226 meV per atom

a b c (Å): 6.3301 6.3301 6.3301
angles (deg): 90.00 90.00 90.00
Space group F-43m (No. 216)
Inequivalent atoms, fractional coordinates:
Ta 0.0000 0.0000 0.0000 x4
Fe 0.2500 0.2500 0.7500 x4
Sn 0.0000 0.0000 0.5000 x4
Rh 0.2500 0.2500 0.2500 x4

=====

Entry 2:
VASP calculation (PBE) on Li2Hg3F8 after structural relaxation.

Computed properties:
V: 394.2 Å³/cell
ΔE_f (raw): -1.85 eV per atom
DOS at the Fermi energy: 0.0 states/eV/f.u.

a b c (Å): 10.0512 7.0249 6.0664
angles (deg): 90.00 113.05 90.00
Space group C2/m (No. 12)
Inequivalent atoms, fractional coordinates:
Li 0.1674 0.0000 0.1226 x4
Hg 0.0000 0.2295 0.5000 x4
Hg 0.0000 0.5000 0.0000 x2
F 0.1153 0.2384 0.2384 x8
F 0.1252 0.5000 0.7348 x4
F 0.1283 0.0000 0.7863 x4

=====

Entry 3:
VASP calculation (PBE) on Sr5Cd2Ag after structural relaxation.

Computed properties:
V: 1234.2 Å³/cell
DOS at the Fermi energy: 7.6 states/eV/f.u.
Calculated formation energy: -231 meV per atom

a b c (Å): 8.5920 8.5920 16.7184
angles (deg): 90.00 90.00 90.00
Space group I4/mcm (No. 140)
Inequivalent atoms, fractional coordinates:
Sr 0.0000 0.0000 0.0000 x4
Sr 0.1695 0.3305 0.1492 x16
Cd 0.1233 0.3767 0.5000 x8
Ag 0.0000 0.0000 0.2500 x4

=====

Entry 4:
VASP calculation (PBE) on La2YSe after structural relaxation.

Computed properties:
V: 236.4 Å³/cell
ΔE_f (raw): -0.64 eV per atom
DOS at the Fermi energy: 4.5 states/eV/f.u.

a b c (Å): 3.6456 4.8380 13.4045
angles (deg): 90.00 90.00 90.00
Space group Immm (No. 71)
Inequivalent atoms, fractional coordinates:
La 0.0000 0.0000 0.1996 x4
Y 0.0000 0.5000 0.0000 x2
Se 0.0000 0.5000 0.5000 x2

=====

Entry 5:
VASP calculation (PBE) on Pu5RuRh2 after structural relaxation.

Computed properties:
V: 716.9 Å³/cell
DOS at the Fermi energy: 28.4 states/eV/f.u.
Calculated formation energy: 56 meV per atom

a b c (Å): 3.1036 19.7817 11.6761
angles (deg): 90.00 90.00 90.00
Space group Cmcm (No. 63)
Inequivalent atoms, fractional coordinates:
Pu 0.0000 0.0338 0.1152 x8
Pu 0.0000 0.2244 0.7500 x4
Pu 0.0000 0.3260 0.5290 x8
Ru 0.0000 0.1418 0.2500 x4
Rh 0.0000 0.0997 0.6307 x8

=====

Entry 6:
VASP calculation (PBE) on BaTl2NiBi after structural relaxation.

Computed properties:
V: 155.4 Å³/cell
DOS at the Fermi energy: 4.1 states/eV/f.u.
Calculated formation energy: -179 meV per atom

a b c (Å): 5.1510 5.1510 5.8564
angles (deg): 90.00 90.00 90.00
Space group P4/mmm (No. 123)
Inequivalent atoms, fractional coordinates:
Ba 0.0000 0.0000 0.0000 x1
Tl 0.0000 0.5000 0.5000 x2
Ni 0.0000 0.0000 0.5000 x1
Bi 0.5000 0.5000 0.0000 x1

=====

Entry 7:
VASP calculation (PBE) on Ho12Th5Sc2 after structural relaxation.

Computed properties:
V: 1189.8 Å³/cell
DOS at the Fermi energy: 31.0 states/eV/f.u.
Calculated formation energy: 201 meV per atom

a b c (Å): 18.8448 7.1449 9.8141
angles (deg): 90.00 115.79 90.00
Space group C2/m (No. 12)
Inequivalent atoms, fractional coordinates:
Ho 0.0053 0.0000 0.3195 x4
Ho 0.0129 0.5000 0.2082 x4
Ho 0.1582 0.2542 0.8538 x8
Ho 0.1649 0.2553 0.5027 x8
Th 0.0000 0.5000 0.5000 x2
Th 0.1764 0.0000 0.1993 x4
Th 0.1814 0.5000 0.1798 x4
Sc 0.0000 0.1967 0.0000 x4

=====

Entry 8:
VASP calculation (PBE) on AlRh2 after structural relaxation.

Computed properties:
V: 173.5 Å³/cell
DOS at the Fermi energy: 3.0 states/eV/f.u.
Calculated formation energy: -459 meV per atom

a b c (Å): 7.2514 2.8371 8.4347
angles (deg): 90.00 90.86 90.00
Space group P2_1/m (No. 11)
Inequivalent atoms, fractional coordinates:
Al 0.1485 0.2500 0.2281 x2
Al 0.1568 0.2500 0.5985 x2
Rh 0.1100 0.2500 0.8897 x2
Rh 0.3409 0.7500 0.4159 x2
Rh 0.3618 0.7500 0.0709 x2
Rh 0.3950 0.7500 0.7494 x2

=====

Entry 9:
VASP calculation (PBE) on LiPaCrSe4 after structural relaxation.

Computed properties:
V: 691.9 Å³/cell
ΔE_f (raw): -1.05 eV per atom
DOS at the Fermi energy: 4.0 states/eV/f.u.

a b c (Å): 7.7929 8.4672 10.4864
angles (deg): 90.00 90.00 90.00
Space group Imma (No. 74)
Inequivalent atoms, fractional coordinates:
Li 0.0000 0.2500 0.1591 x4
Pa 0.0000 0.0000 0.5000 x4
Cr 0.2500 0.2500 0.7500 x4
Se 0.0000 0.0433 0.7631 x8
Se 0.2405 0.2500 0.4952 x8

=====

Entry 10:
VASP calculation (PBE) on Sm2TiZn after structural relaxation.

Computed properties:
V: 310.1 Å³/cell
DOS at the Fermi energy: 5.7 states/eV/f.u.
Calculated formation energy: 401 meV per atom

a b c (Å): 3.2969 3.2969 32.9423
angles (deg): 90.00 90.00 120.00
Space group R-3m (No. 166, hexagonal axes)
Inequivalent atoms, fractional coordinates:
Sm 0.0000 0.0000 0.0915 x6
Ti 0.0000 0.0000 0.0000 x3
Zn 0.0000 0.0000 0.5000 x3

=====

Entry 11:
VASP calculation (PBE) on ZnHgAsBr2 after structural relaxation.

Computed properties:
V: 139.4 Å³/cell
ΔE_f (raw): 0.13 eV per atom
DOS at the Fermi energy: 2.2 states/eV/f.u.

a b c (Å): 5.1710 5.1710 5.2135
angles (deg): 90.00 90.00 90.00
Space group P4/mmm (No. 123)
Inequivalent atoms, fractional coordinates:
Zn 0.0000 0.0000 0.0000 x1
Hg 0.5000 0.5000 0.5000 x1
As 0.0000 0.0000 0.5000 x1
Br 0.0000 0.5000 0.0000 x2

=====

Entry 12:
VASP calculation (PBE) on PuHgPb2O8 after structural relaxation.

Computed properties:
V: 371.3 Å³/cell
ΔE_f (raw): -1.26 eV per atom
DOS at the Fermi energy: 2.9 states/eV/f.u.

a b c (Å): 7.1363 7.3880 7.0420
angles (deg): 90.00 90.00 90.00
Space group Cmmm (No. 65)
Inequivalent atoms, fractional coordinates:
Pu 0.0000 0.0000 0.0000 x2
Hg 0.0000 0.0000 0.5000 x2
Pb 0.0000 0.5000 0.2496 x4
O 0.0000 0.1880 0.2001 x8
O 0.1940 0.5000 0.5000 x4
O 0.1990 0.5000 0.0000 x4

=====

> Which formula does entry 6 have?

BaTl2NiBi

=====

> The highest DOS at the Fermi energy belongs to which entry?

Ho12Th5Sc2

=====

> Which of these has the highest V?

Sr5Cd2Ag

=====

> Which of these has the highest DOS at the Fermi energy?

Ho12Th5Sc2